1.
Computed, not measured: a geometry-optimized YMgTe structure at the GGA-PBEsol level of DFT.

a = 7.0326 Å, b = 7.0326 Å, c = 7.0326 Å
α = 90.00°, β = 90.00°, γ = 90.00°
Closest atoms and distances in Å follow each position.
Space group F-43m (No. 216)
Inequivalent atoms, fractional coordinates:
Y: 0.0000 0.0000 0.0000  4 Mg 3.05
Mg: 0.2500 0.2500 0.7500  4 Te 3.05, 4 Y 3.05
Te: 0.0000 0.0000 0.5000  4 Mg 3.05

Properties
formation energy from raw total energies = -0.058 eV per atom



2.
Computed, not measured: a geometry-optimized RbZn2Sn2 structure at the GGA-PBEsol level of DFT.

a = 4.6820 Å, b = 4.6820 Å, c = 11.6202 Å
α = 90.00°, β = 90.00°, γ = 90.00°
Closest atoms and distances in Å follow each position.
Space group I4/mmm (No. 139)
Inequivalent atoms, fractional coordinates:
Rb: 0.0000 0.0000 0.0000  8 Sn 3.62, 8 Zn 3.73
Zn: 0.0000 0.5000 0.2500  4 Sn 2.75
Sn: 0.0000 0.0000 0.3742  4 Zn 2.75, 1 Sn 2.92

Properties
energy relative to the elements = -90 meV/atom